This record from Alexandria via LeMat-Bulk describes a geometry-optimized ScAl2Cu structure. The functional is PBE.

Cell lengths 4.5152, 4.5152, 4.5152 Å; angles 60.00, 60.00, 60.00 degrees
Sites, in units of the cell vectors:
Cu1 0.5000 0.5000 0.5000
Sc1 0.0000 0.0000 0.0000
Al1 0.7500 0.7500 0.7500
Al2 0.2500 0.2500 0.2500

Results
M_tot   0.0 μB/f.u.
Formation energy   -20.1 kJ per mole of atoms


This record from Alexandria via LeMat-Bulk describes a geometry-optimized ScAlCu structure. The functional is PBE.

Cell lengths 4.3351, 4.3351, 3.1572 Å; angles 90.00, 90.00, 120.00 degrees
Sites, in units of the cell vectors:
Sc1 0.6667 0.3333 0.6667
Al1 0.0000 0.0000 0.1666
Cu1 0.3333 0.6667 0.1667

Results
M_tot   0.0 μB/f.u.
Formation energy   -39.1 kJ per mole of atoms


This record from Alexandria via LeMat-Bulk describes a geometry-optimized ScAl2Cu structure. The functional is PBE.

Cell lengths 3.0100, 3.0100, 7.1822 Å; angles 90.00, 90.00, 90.00 degrees
Sites, in units of the cell vectors:
Cu1 0.5000 0.5000 0.2500
Sc1 0.5000 0.5000 0.7500
Al1 0.0000 0.0000 0.4582
Al2 0.0000 0.0000 0.0418

Results
M_tot   0.4 μB/f.u.
Formation energy   -31.7 kJ per mole of atoms


This record from Alexandria via LeMat-Bulk describes a geometry-optimized Sc4AlCu2 structure. The functional is PBE.

Cell lengths 4.6172, 4.6172, 7.8478 Å; angles 72.89, 72.89, 60.00 degrees
Sites, in units of the cell vectors:
Sc1 0.6132 0.6132 0.1604
Sc2 0.8685 0.8685 0.3944
Sc3 0.1315 0.1315 0.6056
Sc4 0.3868 0.3868 0.8396
Cu1 0.2594 0.2594 0.2219
Cu2 0.7406 0.7406 0.7781
Al1 0.0000 0.0000 0.0000

Results
M_tot   0.0 μB/f.u.
Formation energy   -19.6 kJ per mole of atoms